Below is crystalline Fe2SiAu at its relaxed geometry, with properties calculated at the PBEsol level.

Cell and atoms, written as extended XYZ:
```
4
Lattice="-2.5778 0.8993 -2.4146 0.4066 -3.2308 -1.6373 -1.6280 -0.3565 4.3560" Properties=species:S:1:pos:R:3 pbc="T T T"
Au 0.0000 0.0000 0.0000
Fe -2.6457 -0.3115 -0.0423
Fe -1.1535 -2.3766 0.3463
Si -1.0856 -1.1658 -2.0260
```

The value obtained for the energy relative to the elements, uncorrected is -0.0056 eV per atom. Its total energy is -6.9051 eV per atom. As for the density of states at the Fermi level: 0.699 states/eV per atom. The density is 10.829 g cm⁻³.